# Li2MgMnCl GGA-PBE optimized geometry
data_Li2MgMnCl
_cell_length_a 5.102
_cell_length_b 5.102
_cell_length_c 5.354
_cell_angle_alpha 90.00
_cell_angle_beta 90.00
_cell_angle_gamma 90.00
_symmetry_space_group_name_H-M 'P 1'
_symmetry_Int_Tables_number 1
loop_
_symmetry_equiv_pos_as_xyz
'x,y,z'
loop_
_atom_site_label
_atom_site_type_symbol
_atom_site_fract_x
_atom_site_fract_y
_atom_site_fract_z
_atom_site_occupancy
Li1 Li 0.000 0.500 0.000 1
Li2 Li 0.500 0.000 0.000 1
Mg1 Mg 0.000 0.000 0.500 1
Mn1 Mn 0.000 0.000 0.000 1
Cl1 Cl 0.500 0.500 0.500 1
# - E_form (uncorrected) (eV/atom) = 0.419
# - total DFT energy (no corrections) (eV/atom) = -2.8684